Computed, not measured: a crystal of CoAg2Pt relaxed with PBEsol at the SCAN level of DFT.

Computed properties:
**Uncorrected energy**: -149.976 eV for the cell shown
**Symmetry**: P4mm
**Formation energy**: 0.06 eV/atom
**ΔE to the lowest computed polymorph**: 0 meV per atom

```
4
Lattice="2.747 0.000 0.000 0.000 2.747 0.000 0.000 0.000 7.767" Properties=species:S:1:pos:R:3 pbc="T T T"
Co 0.000 0.000 0.000
Ag 0.000 0.000 3.749
Ag 1.373 1.373 5.878
Pt 1.373 1.373 1.638
```

***

Computed, not measured: a crystal of CoAgPt2 relaxed with PBEsol at the SCAN level of DFT.

Computed properties:
**Uncorrected energy**: -189.380 eV for the cell shown
**Symmetry**: R-3m
**Formation energy**: -0.08 eV/atom

```
4
Lattice="1.361 0.786 8.912 -1.361 0.786 8.912 0.000 -1.572 8.912" Properties=species:S:1:pos:R:3 pbc="T T T"
Co 0.000 0.000 0.000
Ag 0.000 0.000 13.367
Pt 0.000 0.000 6.859
Pt 0.000 0.000 19.876
```

***

Computed, not measured: a crystal of CoAg2Pt relaxed with PBEsol at the SCAN level of DFT.

Computed properties:
**Uncorrected energy**: -149.341 eV for the cell shown
**Symmetry**: Fm-3m
**Formation energy**: 0.22 eV/atom
**ΔE to the lowest computed polymorph**: 159 meV per atom

```
4
Lattice="0.000 3.097 3.097 3.097 0.000 3.097 3.097 3.097 0.000" Properties=species:S:1:pos:R:3 pbc="T T T"
Co 0.000 0.000 0.000
Ag 1.548 1.548 1.548
Ag 4.645 4.645 4.645
Pt 3.097 3.097 3.097
```

***

Computed, not measured: a crystal of RbSc2CoAg relaxed with PBEsol at the SCAN level of DFT.

Computed properties:
**Uncorrected energy**: -96.541 eV for the cell shown
**Symmetry**: P4/mmm
**Formation energy**: 0.27 eV/atom

```
5
Lattice="4.732 0.000 0.000 0.000 4.732 0.000 0.000 0.000 5.295" Properties=species:S:1:pos:R:3 pbc="T T T"
Rb 0.000 0.000 0.000
Sc 0.000 2.366 2.647
Sc 2.366 0.000 2.647
Co 2.366 2.366 2.647
Ag 2.366 2.366 0.000
```

***

Computed, not measured: a crystal of RbTl2CoAg relaxed with PBEsol at the SCAN level of DFT.

Computed properties:
**Uncorrected energy**: -212.979 eV for the cell shown
**Symmetry**: P4/mmm
**Formation energy**: 0.23 eV/atom

```
5
Lattice="4.991 0.000 0.000 0.000 4.991 0.000 0.000 0.000 5.185" Properties=species:S:1:pos:R:3 pbc="T T T"
Rb 0.000 0.000 0.000
Tl 0.000 2.495 2.592
Tl 2.495 0.000 2.592
Co 2.495 2.495 2.592
Ag 2.495 2.495 0.000
```

***

Computed, not measured: a crystal of Co2ReAg relaxed with PBEsol at the SCAN level of DFT.

Computed properties:
**Uncorrected energy**: -133.893 eV for the cell shown
**Symmetry**: F-43m
**Formation energy**: 0.79 eV/atom
**ΔE to the lowest computed polymorph**: 310 meV per atom

```
4
Lattice="0.000 2.956 2.956 2.956 0.000 2.956 2.956 2.956 0.000" Properties=species:S:1:pos:R:3 pbc="T T T"
Co 0.000 0.000 0.000
Co 1.478 1.478 1.478
Re 4.433 4.433 4.433
Ag 2.956 2.956 2.956
```

***

Computed, not measured: a crystal of Co2ReAg relaxed with PBEsol at the SCAN level of DFT.

Computed properties:
**Uncorrected energy**: -134.896 eV for the cell shown
**Symmetry**: P2/m
**Formation energy**: 0.54 eV/atom
**ΔE to the lowest computed polymorph**: 59 meV per atom

```
4
Lattice="4.524 0.000 0.000 0.000 2.598 0.000 -1.876 0.000 4.396" Properties=species:S:1:pos:R:3 pbc="T T T"
Co 0.000 0.000 0.000
Co -0.938 1.299 2.198
Re 1.324 0.000 2.198
Ag 2.262 1.299 0.000
```

***

Computed, not measured: a crystal of CoReAg2 relaxed with PBEsol at the SCAN level of DFT.

Computed properties:
**Uncorrected energy**: -148.951 eV for the cell shown
**Symmetry**: R-3m
**Formation energy**: 0.55 eV/atom
**ΔE to the lowest computed polymorph**: 185 meV per atom

```
4
Lattice="1.350 0.780 9.208 -1.350 0.780 9.208 0.000 -1.559 9.208" Properties=species:S:1:pos:R:3 pbc="T T T"
Co 0.000 0.000 0.000
Re 0.000 0.000 13.812
Ag 0.000 0.000 7.011
Ag 0.000 0.000 20.614
```

***

> formation energy of number 1 (CoAg2Pt)?

0.06 eV/atom

***

> What is the formation energy in the fifth record?

0.23 eV/atom

***

> Which of these has the lowest uncorrected energy?

RbTl2CoAg

***

> The highest uncorrected energy belongs to which entry?

RbSc2CoAg